# Mg5Ag6 | the Alexandria database | PBE-GGA | relaxed
data_Mg5Ag6
_chemical_formula_sum 'Mg10 Ag12'
_symmetry_space_group_name_H-M 'C 1 2/m 1'
_symmetry_Int_Tables_number 12
_symmetry_space_group_name_Hall '-C 2y'
_cell_length_a 14.472
_cell_length_b 6.657
_cell_length_c 4.634
_cell_angle_alpha 90.00
_cell_angle_beta 108.42
_cell_angle_gamma 90.00
loop_
_atom_site_label
_atom_site_fract_x
_atom_site_fract_y
_atom_site_fract_z
_atom_site_occupancy
Mg1 0.000 0.000 0.000 1
Mg2 0.163 0.000 0.664 1
Mg3 0.183 0.500 0.685 1
Ag1 0.000 0.277 0.500 1
Ag2 0.150 0.276 0.151 1
# * uncorrected energy: -53.344 eV per cell
# * M_tot: 0.0 μB per formula unit
# * formation energy: -144.7 meV/atom